No. 1
# TaInAs2

A relaxed TaInAs2 crystal (GGA-PBE, Alexandria via LeMat-Bulk).

As for the formation energy: 63 kJ/mol of formula units.

a b c (Å): 6.273 6.273 7.324
angles (deg): 64.64 64.64 90.00
Atoms (fractional coordinates):
In1 0.250 0.750 0.500
As1 0.375 0.330 0.750
As2 0.875 0.920 0.750
Ta1 0.750 0.250 0.500
As3 0.080 0.625 0.250
Ta2 0.000 0.000 0.000
As4 0.670 0.125 0.250
In2 0.500 0.500 0.000

No. 2
# ZrTaIn2As

A relaxed ZrTaIn2As crystal (GGA-PBE, Alexandria via LeMat-Bulk).

As for the formation energy: 344 kJ/mol of formula units.

a b c (Å): 5.333 4.841 5.333
angles (deg): 90.00 90.00 90.00
Each line ends with the local moment (μB).
Atoms (fractional coordinates):
Ta1 0.000 0.000 0.000  -0.01
In1 0.000 0.000 0.500  0.00
Zr1 0.500 0.500 0.500  1.00
In2 0.500 0.000 0.000  0.01
As1 0.000 0.500 0.000  -0.01

No. 3
# Tb2InAs

A relaxed Tb2InAs crystal (GGA-PBE, Alexandria via LeMat-Bulk).

As for the formation energy: -356 kJ/mol of formula units.

a b c (Å): 4.011 4.011 8.275
angles (deg): 75.98 75.98 60.00
Atoms (fractional coordinates):
As1 0.000 0.000 0.000
Tb1 0.263 0.263 0.212
Tb2 0.737 0.737 0.788
In1 0.500 0.500 0.500

No. 4
# Tb6InTe3As2

A relaxed Tb6InTe3As2 crystal (GGA-PBE, Alexandria via LeMat-Bulk).

The value obtained for the uncorrected formation energy is -1.2744 eV per atom.

a b c (Å): 4.231 8.766 9.665
angles (deg): 103.70 102.64 90.00
Atoms (fractional coordinates):
As1 0.832 0.663 0.664
Tb1 0.674 0.567 0.348
Tb2 0.334 0.895 0.668
Te1 0.834 0.169 0.668
Tb3 0.666 0.105 0.332
Te2 0.166 0.831 0.332
Tb4 0.008 0.251 0.015
Tb5 0.992 0.749 0.985
Te3 0.500 0.500 0.000
Tb6 0.326 0.433 0.652
In1 0.500 0.000 0.000
As2 0.168 0.337 0.336

No. 5
# InTc3As

A relaxed InTc3As crystal (GGA-PBE, Alexandria via LeMat-Bulk).

As for the formation energy: 401 kJ/mol of formula units.

a b c (Å): 4.574 4.574 4.574
angles (deg): 90.00 90.00 90.00
Each line ends with the local moment (μB).
Atoms (fractional coordinates):
As1 0.000 0.000 0.000  -0.03
Tc1 0.000 0.000 0.500  0.74
Tc2 0.000 0.500 0.000  0.74
In1 0.500 0.500 0.500  -0.04
Tc3 0.500 0.000 0.000  0.67

No. 6
# InTcAs

A relaxed InTcAs crystal (GGA-PBE, Alexandria via LeMat-Bulk).

As for the formation energy: -2 kJ/mol of formula units.

a b c (Å): 5.696 5.696 3.226
angles (deg): 73.55 73.55 32.90
Atoms (fractional coordinates):
As1 0.033 0.033 0.967
In1 0.325 0.325 0.675
Tc1 0.642 0.642 0.358

No. 7
# InTcAs

A relaxed InTcAs crystal (GGA-PBE, Alexandria via LeMat-Bulk).

As for the formation energy: 57 kJ/mol of formula units.

a b c (Å): 4.264 4.264 3.556
angles (deg): 90.00 90.00 120.00
Atoms (fractional coordinates):
In1 0.333 0.667 0.333
As1 0.000 0.000 0.833
Tc1 0.667 0.333 0.833

No. 8
# InTcAs

A relaxed InTcAs crystal (GGA-PBE, Alexandria via LeMat-Bulk).

As for the formation energy: 106 kJ/mol of formula units.

a b c (Å): 4.410 4.410 4.410
angles (deg): 60.00 60.00 60.00
Atoms (fractional coordinates):
As1 0.000 0.000 0.000
Tc1 0.750 0.750 0.750
In1 0.500 0.500 0.500

No. 9
# InTcAs

A relaxed InTcAs crystal (GGA-PBE, Alexandria via LeMat-Bulk).

As for the formation energy: -31 kJ/mol of formula units.

a b c (Å): 3.173 6.700 7.246
angles (deg): 128.04 102.65 90.00
Atoms (fractional coordinates):
Tc1 0.142 0.311 0.284
Tc2 0.858 0.689 0.716
As1 0.334 0.373 0.668
As2 0.666 0.627 0.332
In1 0.579 0.892 0.157
In2 0.421 0.108 0.843

No. 10
# InTcAs

A relaxed InTcAs crystal (GGA-PBE, Alexandria via LeMat-Bulk).

As for the formation energy: -5 kJ/mol of formula units.

a b c (Å): 3.194 3.194 6.385
angles (deg): 90.00 90.00 120.00
Atoms (fractional coordinates):
As1 0.000 0.000 0.952
Tc1 0.333 0.667 0.695
In1 0.667 0.333 0.353

No. 11
# InTcAs

A relaxed InTcAs crystal (GGA-PBE, Alexandria via LeMat-Bulk).

As for the formation energy: 9 kJ/mol of formula units.

a b c (Å): 3.118 4.682 9.176
angles (deg): 78.40 90.00 109.45
Atoms (fractional coordinates):
As1 0.818 0.637 0.871
In1 0.402 0.804 0.390
Tc1 0.102 0.204 0.869
In2 0.598 0.196 0.610
Tc2 0.898 0.796 0.131
As2 0.182 0.363 0.129

No. 12
# In4TcAs

A relaxed In4TcAs crystal (GGA-PBE, Alexandria via LeMat-Bulk).

As for the formation energy: 445 kJ/mol of formula units.

a b c (Å): 5.787 5.787 5.787
angles (deg): 60.00 60.00 60.00
Each line ends with the local moment (μB).
Atoms (fractional coordinates):
In1 0.874 0.375 0.375  -0.03
As1 0.000 0.000 0.000  -0.04
In2 0.375 0.874 0.375  -0.03
In3 0.375 0.375 0.375  -0.03
In4 0.375 0.375 0.874  -0.03
Tc1 0.750 0.750 0.750  1.52